The following is a DFT calculation (PBE with a Hubbard U) of an optimized crystal structure of PaHgMo2O8.

POSCAR file:
```
PaHgMo2O8
1.0
6.211 0.000 0.000
3.105 5.379 0.000
3.105 1.793 7.674
Pa O Hg Mo
1 8 1 2
direct
0.000 0.000 0.000 Pa
0.396 0.879 0.845 O
0.879 0.880 0.845 O
0.822 0.822 0.535 O
0.120 0.604 0.155 O
0.604 0.121 0.155 O
0.178 0.178 0.465 O
0.121 0.120 0.155 O
0.880 0.396 0.845 O
0.500 0.500 0.500 Hg
0.253 0.253 0.240 Mo
0.747 0.747 0.760 Mo
```

## Properties
Space group   No. 166
Total energy   -0.5312 Ry/atom
Size of the total moment   1.0 Bohr magnetons per cell